The following is a DFT calculation (GGA-PBE) of an optimized crystal structure of RbAc2Zn.

Geometry as POSCAR:
```
RbAc2Zn
1.0
4.015 0.000 0.000
0.000 4.015 0.000
0.000 0.000 11.181
Rb Ac Zn
1 2 1
Cartesian
0.000 0.000 0.000 Rb
2.007 2.007 3.818 Ac
2.007 2.007 7.363 Ac
0.000 0.000 5.590 Zn
```

E_form (eV/atom): 0.05
Total magnetization (μB/f.u.): 0.1



The following is a DFT calculation (GGA-PBE) of an optimized crystal structure of RbCaNb.

Geometry as POSCAR:
```
RbCaNb
1.0
6.103 0.000 0.000
-3.052 5.286 0.000
0.000 0.000 3.043
Rb Ca Nb
1 1 1
Cartesian
0.000 0.000 0.000 Rb
0.000 3.524 1.521 Ca
3.052 1.762 1.521 Nb
```

E_form (eV/atom): 1.33
Energy above the lowest structure with this stoichiometry (eV/atom): 0.980
Total magnetization (μB/f.u.): 0.0



The following is a DFT calculation (GGA-PBE) of an optimized crystal structure of CaPmRu.

Geometry as POSCAR:
```
CaPmRu
1.0
0.000 6.176 4.522
5.970 0.000 4.522
5.970 6.176 0.000
Ca Pm Ru
4 4 4
Cartesian
7.439 2.244 4.522 Ca
7.486 5.332 6.782 Ca
4.501 10.107 4.522 Ca
4.454 7.019 6.782 Ca
5.284 4.557 3.584 Pm
9.640 7.645 5.845 Pm
6.655 7.795 3.584 Pm
8.269 10.883 5.845 Pm
8.174 5.594 3.966 Ru
5.189 3.670 6.227 Ru
3.766 6.758 3.966 Ru
6.751 8.682 6.227 Ru
```

E_form (eV/atom): 0.00
Energy above the lowest structure with this stoichiometry (eV/atom): 0.048
Total magnetization (μB/f.u.): 0.0